This record from the Alexandria database describes an optimized crystal structure of Ga2SnHg2. The functional is PBE-GGA.

Cell and atoms, written as POSCAR:
```
Ga2SnHg2
1.0
-1.982 3.624 -0.110
-3.226 -1.706 1.939
0.222 2.694 7.144
Hg Ga Sn
2 2 1
Cartesian
-2.008 1.325 2.228
-2.978 3.288 6.745
-2.182 3.639 3.974
-2.804 0.974 4.999
0.000 0.000 0.000
```

Results
ΔE to the lowest computed polymorph = 0.092 eV/atom
Energy relative to the elements = 131.6 meV per atom